## RbMgPH12O10 (SCAN)

Data for a PBEsol-optimized structure of RbMgPH12O10.

Unit cell a=6.826 b=6.082 c=11.220 alpha=90.00 beta=90.00 gamma=90.00
Sites, in units of the cell vectors:
Rb 0.000 0.134 0.000
Rb 0.500 0.866 0.500
Mg 0.000 0.124 0.648
Mg 0.500 0.876 0.148
P 0.000 0.504 0.280
P 0.500 0.496 0.780
H 0.000 0.668 0.618
H 0.000 0.770 0.484
H 0.121 0.510 0.767
H 0.174 0.880 0.295
H 0.175 0.671 0.080
H 0.204 0.298 0.457
H 0.247 0.132 0.282
H 0.253 0.868 0.782
H 0.296 0.702 0.957
H 0.325 0.329 0.580
H 0.326 0.120 0.795
H 0.379 0.490 0.267
H 0.500 0.230 0.984
H 0.500 0.332 0.118
H 0.621 0.490 0.267
H 0.674 0.120 0.795
H 0.675 0.329 0.580
H 0.704 0.702 0.957
H 0.747 0.868 0.782
H 0.753 0.132 0.282
H 0.796 0.298 0.457
H 0.825 0.671 0.080
H 0.826 0.880 0.295
H 0.879 0.510 0.767
O 0.000 0.450 0.724
O 0.000 0.532 0.143
O 0.000 0.734 0.341
O 0.000 0.808 0.572
O 0.187 0.379 0.320
O 0.211 0.026 0.769
O 0.226 0.233 0.538
O 0.274 0.767 0.038
O 0.289 0.974 0.269
O 0.313 0.621 0.820
O 0.500 0.192 0.072
O 0.500 0.266 0.841
O 0.500 0.468 0.643
O 0.500 0.550 0.224
O 0.687 0.621 0.820
O 0.711 0.974 0.269
O 0.726 0.767 0.038
O 0.774 0.233 0.538
O 0.789 0.026 0.769
O 0.813 0.379 0.320

Properties
Its total magnetization is 0.0 μB/cell. The value obtained for the uncorrected energy is -7.15 eV/atom. The space group is Pmn2_1, No. 31.